(1)
Entry from Alexandria via LeMat-Bulk: a relaxed structure of LiPm6In (PBE).

* energy of formation from the pure elements: -0.1110 eV/atom
* spin magnetization: 0.0 μB/cell

Cell: 10.045 10.045 10.045 Å, 150.21 150.21 42.64°
Positions (direct):
Li  0.000  0.000  0.000
Pm  0.113  0.613  0.500
Pm  0.249  0.249  0.000
Pm  0.387  0.887  0.500
Pm  0.613  0.113  0.500
Pm  0.751  0.751  0.000
Pm  0.887  0.387  0.500
In  0.500  0.500  0.000

(2)
Entry from Alexandria via LeMat-Bulk: a relaxed structure of LiPmIn5 (PBE).

* energy of formation from the pure elements: -0.2468 eV/atom
* spin magnetization: 0.0 μB/cell

Cell: 4.653 4.653 8.081 Å, 90.00 90.00 90.00°
Positions (direct):
Li  0.000  0.000  0.000
Pm  0.500  0.500  0.500
In  0.000  0.000  0.500
In  0.000  0.500  0.198
In  0.000  0.500  0.802
In  0.500  0.000  0.198
In  0.500  0.000  0.802

(3)
Entry from Alexandria via LeMat-Bulk: a relaxed structure of LiPmPrIn (PBE).

* energy of formation from the pure elements: -0.2658 eV/atom
* spin magnetization: 0.0 μB/cell

Cell: 5.440 5.440 5.440 Å, 60.00 60.00 60.00°
Positions (direct):
Li  0.000  0.000  0.000
Pm  0.750  0.750  0.750
Pr  0.250  0.250  0.250
In  0.500  0.500  0.500

(4)
Entry from Alexandria via LeMat-Bulk: a relaxed structure of LiPmPuIn (PBE).

* energy of formation from the pure elements: 0.0238 eV/atom
* spin magnetization: 6.9 μB/cell

Cell: 5.250 5.250 5.250 Å, 60.00 60.00 60.00°
Positions (direct):
Li  0.000  0.000  0.000
Pm  0.750  0.750  0.750
Pu  0.500  0.500  0.500
In  0.250  0.250  0.250

(5)
Entry from Alexandria via LeMat-Bulk: a relaxed structure of LiPmInRu (PBE).

* energy of formation from the pure elements: -0.2115 eV/atom
* spin magnetization: 0.0 μB/cell

Cell: 4.825 4.825 4.825 Å, 60.00 60.00 60.00°
Positions (direct):
Li  0.000  0.000  0.000
Pm  0.750  0.750  0.750
In  0.250  0.250  0.250
Ru  0.500  0.500  0.500

(6)
Entry from Alexandria via LeMat-Bulk: a relaxed structure of Li3Pm3InS8 (PBE).

* ΔE_f (raw): -1.442 eV per atom
* spin magnetization: 0.0 μB/cell

Cell: 7.622 7.622 7.622 Å, 63.53 63.53 63.53°
Positions (direct):
Li  0.000  0.500  0.500
Li  0.500  0.000  0.500
Li  0.500  0.500  0.000
Pm  0.000  0.000  0.500
Pm  0.000  0.500  0.000
Pm  0.500  0.000  0.000
In  0.500  0.500  0.500
S  0.252  0.252  0.252
S  0.258  0.258  0.731
S  0.258  0.731  0.258
S  0.269  0.742  0.742
S  0.731  0.258  0.258
S  0.742  0.269  0.742
S  0.742  0.742  0.269
S  0.748  0.748  0.748

(7)
Entry from Alexandria via LeMat-Bulk: a relaxed structure of LiPmInSb (PBE).

* ΔE_f (raw): -0.426 eV per atom
* spin magnetization: 0.0 μB/cell

Cell: 5.281 5.281 5.281 Å, 60.00 60.00 60.00°
Positions (direct):
Li  0.000  0.000  0.000
Pm  0.500  0.500  0.500
In  0.750  0.750  0.750
Sb  0.250  0.250  0.250

(8)
Entry from Alexandria via LeMat-Bulk: a relaxed structure of Li2Pm2ScIn5 (PBE).

* energy of formation from the pure elements: -0.4043 eV/atom
* spin magnetization: 0.0 μB/cell

Cell: 10.192 10.192 4.468 Å, 90.00 90.00 90.00°
Positions (direct):
Li  0.116  0.384  0.000
Li  0.384  0.884  0.000
Li  0.616  0.116  0.000
Li  0.884  0.616  0.000
Pm  0.179  0.679  0.000
Pm  0.321  0.179  0.000
Pm  0.679  0.821  0.000
Pm  0.821  0.321  0.000
Sc  0.000  0.000  0.000
Sc  0.500  0.500  0.000
In  0.000  0.500  0.500
In  0.065  0.206  0.500
In  0.206  0.935  0.500
In  0.294  0.435  0.500
In  0.435  0.706  0.500
In  0.500  0.000  0.500
In  0.565  0.294  0.500
In  0.706  0.565  0.500
In  0.794  0.065  0.500
In  0.935  0.794  0.500

(9)
Entry from Alexandria via LeMat-Bulk: a relaxed structure of Li2Pm2ScIn2 (PBE).

* energy of formation from the pure elements: -0.2192 eV/atom
* spin magnetization: 0.0 μB/cell

Cell: 9.245 9.245 9.245 Å, 30.06 30.06 30.06°
Positions (direct):
Li  0.116  0.116  0.116
Li  0.884  0.884  0.884
Pm  0.374  0.374  0.374
Pm  0.626  0.626  0.626
Sc  0.500  0.500  0.500
In  0.231  0.231  0.231
In  0.769  0.769  0.769

(10)
Entry from Alexandria via LeMat-Bulk: a relaxed structure of LiPm2InSe5 (PBE).

* ΔE_f (raw): -1.382 eV per atom
* spin magnetization: 0.0 μB/cell

Cell: 9.208 9.208 11.968 Å, 90.00 90.00 154.20°
Positions (direct):
Li  0.223  0.777  0.500
Li  0.777  0.223  0.000
Pm  0.124  0.876  0.162
Pm  0.125  0.875  0.786
Pm  0.875  0.125  0.286
Pm  0.876  0.124  0.662
In  0.416  0.584  0.956
In  0.584  0.416  0.456
Se  0.036  0.964  0.567
Se  0.299  0.701  0.141
Se  0.302  0.698  0.818
Se  0.361  0.639  0.478
Se  0.493  0.507  0.766
Se  0.507  0.493  0.266
Se  0.639  0.361  0.978
Se  0.698  0.302  0.318
Se  0.701  0.299  0.641
Se  0.964  0.036  0.067

(11)
Entry from Alexandria via LeMat-Bulk: a relaxed structure of LiPmInSi (PBE).

* ΔE_f (raw): -0.246 eV per atom
* spin magnetization: 0.0 μB/cell

Cell: 5.030 5.030 5.030 Å, 60.00 60.00 60.00°
Positions (direct):
Li  0.000  0.000  0.000
Pm  0.500  0.500  0.500
In  0.750  0.750  0.750
Si  0.250  0.250  0.250

(12)
Entry from Alexandria via LeMat-Bulk: a relaxed structure of LiPm2SmIn4 (PBE).

* energy of formation from the pure elements: -0.4349 eV/atom
* spin magnetization: 0.0 μB/cell

Cell: 9.410 9.410 9.410 Å, 32.67 32.67 32.67°
Positions (direct):
Li  0.000  0.000  0.000
Pm  0.256  0.256  0.256
Pm  0.744  0.744  0.744
Sm  0.500  0.500  0.500
In  0.124  0.124  0.124
In  0.374  0.374  0.374
In  0.626  0.626  0.626
In  0.876  0.876  0.876

(13)
Entry from Alexandria via LeMat-Bulk: a relaxed structure of Li2PmSm2In2 (PBE).

* energy of formation from the pure elements: -0.2440 eV/atom
* spin magnetization: 0.0 μB/cell

Cell: 9.327 9.327 9.327 Å, 30.69 30.69 30.69°
Positions (direct):
Li  0.105  0.105  0.105
Li  0.895  0.895  0.895
Pm  0.500  0.500  0.500
Sm  0.372  0.372  0.372
Sm  0.628  0.628  0.628
In  0.237  0.237  0.237
In  0.763  0.763  0.763

(14)
Entry from Alexandria via LeMat-Bulk: a relaxed structure of Li2PmInSn2 (PBE).

* energy of formation from the pure elements: -0.4390 eV/atom
* spin magnetization: 0.0 μB/cell

Cell: 4.505 8.667 7.670 Å, 90.00 90.00 90.00°
Positions (direct):
Li  0.000  0.078  0.000
Li  0.000  0.922  0.500
Li  0.500  0.188  0.331
Li  0.500  0.812  0.831
Pm  0.500  0.429  0.930
Pm  0.500  0.571  0.430
In  0.000  0.302  0.602
In  0.000  0.698  0.102
Sn  0.000  0.364  0.217
Sn  0.000  0.636  0.717
Sn  0.500  0.113  0.712
Sn  0.500  0.887  0.212

(15)
Entry from Alexandria via LeMat-Bulk: a relaxed structure of Sr2Li2PmIn5 (PBE).

* energy of formation from the pure elements: -0.3939 eV/atom
* spin magnetization: 0.0 μB/cell

Cell: 10.709 10.709 4.658 Å, 90.00 90.00 90.00°
Positions (direct):
Sr  0.180  0.320  0.000
Sr  0.320  0.820  0.000
Sr  0.680  0.180  0.000
Sr  0.820  0.680  0.000
Li  0.115  0.615  0.000
Li  0.385  0.115  0.000
Li  0.615  0.885  0.000
Li  0.885  0.385  0.000
Pm  0.000  0.000  0.000
Pm  0.500  0.500  0.000
In  0.000  0.500  0.500
In  0.061  0.788  0.500
In  0.212  0.061  0.500
In  0.288  0.561  0.500
In  0.439  0.288  0.500
In  0.500  0.000  0.500
In  0.561  0.712  0.500
In  0.712  0.439  0.500
In  0.788  0.939  0.500
In  0.939  0.212  0.500

(16)
Entry from Alexandria via LeMat-Bulk: a relaxed structure of SrLiPmIn (PBE).

* energy of formation from the pure elements: -0.2131 eV/atom
* spin magnetization: 0.0 μB/cell

Cell: 5.581 5.581 5.581 Å, 60.00 60.00 60.00°
Positions (direct):
Sr  0.000  0.000  0.000
Li  0.250  0.250  0.250
Pm  0.500  0.500  0.500
In  0.750  0.750  0.750

(17)
Entry from Alexandria via LeMat-Bulk: a relaxed structure of LiTb2PmIn4 (PBE).

* energy of formation from the pure elements: -0.4253 eV/atom
* spin magnetization: 0.0 μB/cell

Cell: 9.308 9.308 9.308 Å, 32.71 32.71 32.71°
Positions (direct):
Li  0.000  0.000  0.000
Tb  0.254  0.254  0.254
Tb  0.746  0.746  0.746
Pm  0.500  0.500  0.500
In  0.122  0.122  0.122
In  0.373  0.373  0.373
In  0.627  0.627  0.627
In  0.878  0.878  0.878

(18)
Entry from Alexandria via LeMat-Bulk: a relaxed structure of LiTbPm2In4 (PBE).

* energy of formation from the pure elements: -0.4339 eV/atom
* spin magnetization: 0.0 μB/cell

Cell: 9.349 9.349 9.349 Å, 32.75 32.75 32.75°
Positions (direct):
Li  0.000  0.000  0.000
Tb  0.500  0.500  0.500
Pm  0.255  0.255  0.255
Pm  0.745  0.745  0.745
In  0.124  0.124  0.124
In  0.375  0.375  0.375
In  0.625  0.625  0.625
In  0.876  0.876  0.876

(19)
Entry from Alexandria via LeMat-Bulk: a relaxed structure of Li2TbPm2In5 (PBE).

* energy of formation from the pure elements: -0.4165 eV/atom
* spin magnetization: 0.0 μB/cell

Cell: 10.364 10.364 4.504 Å, 90.00 90.00 90.00°
Positions (direct):
Li  0.117  0.383  0.000
Li  0.383  0.883  0.000
Li  0.617  0.117  0.000
Li  0.883  0.617  0.000
Tb  0.000  0.000  0.000
Tb  0.500  0.500  0.000
Pm  0.177  0.677  0.000
Pm  0.323  0.177  0.000
Pm  0.677  0.823  0.000
Pm  0.823  0.323  0.000
In  0.000  0.500  0.500
In  0.069  0.212  0.500
In  0.212  0.931  0.500
In  0.288  0.431  0.500
In  0.431  0.712  0.500
In  0.500  0.000  0.500
In  0.569  0.288  0.500
In  0.712  0.569  0.500
In  0.788  0.069  0.500
In  0.931  0.788  0.500

(20)
Entry from Alexandria via LeMat-Bulk: a relaxed structure of LiTbPmIn (PBE).

* energy of formation from the pure elements: -0.2657 eV/atom
* spin magnetization: 0.0 μB/cell

Cell: 5.351 5.351 5.351 Å, 60.00 60.00 60.00°
Positions (direct):
Li  0.000  0.000  0.000
Tb  0.250  0.250  0.250
Pm  0.750  0.750  0.750
In  0.500  0.500  0.500

(21)
Entry from Alexandria via LeMat-Bulk: a relaxed structure of LiPmInTe3 (PBE).

* ΔE_f (raw): -0.877 eV per atom
* spin magnetization: 0.0 μB/cell

Cell: 9.178 4.303 9.576 Å, 90.00 105.46 90.00°
Positions (direct):
Li  0.092  0.250  0.095
Li  0.908  0.750  0.905
Pm  0.183  0.250  0.736
Pm  0.817  0.750  0.264
In  0.336  0.750  0.350
In  0.664  0.250  0.650
Te  0.090  0.250  0.383
Te  0.226  0.750  0.996
Te  0.422  0.750  0.682
Te  0.578  0.250  0.318
Te  0.774  0.250  0.004
Te  0.910  0.750  0.617

(22)
Entry from Alexandria via LeMat-Bulk: a relaxed structure of LiPm2InTe5 (PBE).

* ΔE_f (raw): -1.024 eV per atom
* spin magnetization: 0.0 μB/cell

Cell: 9.892 9.892 12.975 Å, 90.00 90.00 154.56°
Positions (direct):
Li  0.217  0.783  0.500
Li  0.783  0.217  0.000
Pm  0.123  0.877  0.163
Pm  0.126  0.874  0.788
Pm  0.874  0.126  0.288
Pm  0.877  0.123  0.663
In  0.414  0.586  0.956
In  0.586  0.414  0.456
Te  0.038  0.962  0.571
Te  0.296  0.704  0.145
Te  0.302  0.698  0.815
Te  0.359  0.641  0.478
Te  0.494  0.506  0.768
Te  0.506  0.494  0.268
Te  0.641  0.359  0.978
Te  0.698  0.302  0.315
Te  0.704  0.296  0.645
Te  0.962  0.038  0.071

(23)
Entry from Alexandria via LeMat-Bulk: a relaxed structure of LiPmTlIn (PBE).

* energy of formation from the pure elements: -0.3619 eV/atom
* spin magnetization: 0.0 μB/cell

Cell: 5.237 5.237 5.237 Å, 60.00 60.00 60.00°
Positions (direct):
Li  0.000  0.000  0.000
Pm  0.500  0.500  0.500
Tl  0.750  0.750  0.750
In  0.250  0.250  0.250